[1]
PBE ScAlSi3, optimized geometry; volume = 20.9 Å³ per atom; DOS(E_F) = 0.631 states/eV/atom; space group = Pm-3m; energy = -4.65 eV per atom; raw formation energy = 0.62 eV per atom
1.0
4.707 0.000 0.000
0.000 4.707 0.000
0.000 0.000 4.707
Sc Al Si
1 1 3
Direct
0.000 0.000 0.000
0.500 0.500 0.500
0.000 0.500 0.500
0.500 0.000 0.500
0.500 0.500 0.000

[2]
PBE ZnSbI2O, optimized geometry; volume = 30.9 Å³ per atom; DOS(E_F) = 0.856 states/eV/atom; relative energy among the computed polymorphs = 0 meV/atom; space group = P4/mmm; energy = -2.85 eV per atom; raw formation energy = -0.16 eV per atom
1.0
6.142 0.000 0.000
0.000 6.142 0.000
0.000 0.000 4.091
Zn Sb I O
1 1 2 1
Direct
0.000 0.000 0.000
0.500 0.500 0.500
0.000 0.500 0.500
0.500 0.000 0.500
0.500 0.500 0.000

[3]
PBE Sc3TaGe, optimized geometry; volume = 25.0 Å³ per atom; DOS(E_F) = 0.916 states/eV/atom; DFT formation energy = 0.54 eV per atom; relative energy among the computed polymorphs = 0 meV/atom; space group = Pm-3m; energy = -6.56 eV per atom
1.0
5.001 0.000 0.000
0.000 5.001 0.000
0.000 0.000 5.001
Sc Ta Ge
3 1 1
Direct
0.000 0.000 0.500
0.000 0.500 0.000
0.500 0.000 0.000
0.500 0.500 0.500
0.000 0.000 0.000

[4]
PBE NiMoC, optimized geometry; volume = 11.2 Å³ per atom; DOS(E_F) = 0.339 states/eV/atom; DFT formation energy = 0.05 eV per atom; relative energy among the computed polymorphs = 0 meV/atom; space group = P2/m; energy = -8.56 eV per atom
1.0
4.679 0.000 0.000
0.000 3.042 0.000
-0.405 0.000 4.715
Ni Mo C
2 2 2
Direct
0.232 0.000 0.153
0.768 0.000 0.847
0.241 0.500 0.650
0.759 0.500 0.350
0.000 0.500 0.000
0.500 0.000 0.500

[5]
PBE Os2RuCl, optimized geometry; volume = 14.4 Å³ per atom; DOS(E_F) = 1.196 states/eV/atom; relative energy among the computed polymorphs = 558 meV/atom; space group = Imm2; energy = -7.33 eV per atom; raw formation energy = 1.06 eV per atom
1.0
-1.412 2.293 4.449
1.412 -2.293 4.449
1.412 2.293 -4.449
Os Ru Cl
2 1 1
Direct
0.000 0.000 0.000
0.743 0.243 0.500
0.273 0.773 0.500
0.506 0.506 0.000

[6]
PBE Sc2AlZn2Ni5, optimized geometry; volume = 14.0 Å³ per atom; DOS(E_F) = 0.673 states/eV/atom; DFT formation energy = -0.36 eV per atom; space group = P4/mbm; energy = -5.14 eV per atom
1.0
8.958 0.000 0.000
0.000 8.958 0.000
0.000 0.000 3.500
Sc Al Zn Ni
4 2 4 10
Direct
0.175 0.325 0.000
0.325 0.825 0.000
0.675 0.175 0.000
0.825 0.675 0.000
0.000 0.000 0.000
0.500 0.500 0.000
0.123 0.623 0.000
0.377 0.123 0.000
0.623 0.877 0.000
0.877 0.377 0.000
0.000 0.500 0.500
0.062 0.800 0.500
0.200 0.062 0.500
0.300 0.562 0.500
0.438 0.300 0.500
0.500 0.000 0.500
0.562 0.700 0.500
0.700 0.438 0.500
0.800 0.938 0.500
0.938 0.200 0.500

Question: Among the records above, which one has the lowest DOS(E_F)?
Answer: NiMoC